{
  "formula": "ZrGa2Cl",
  "functional": "PBE-GGA",
  "state": "relaxed",
  "cell": [[6.953, 0.000, 0.000], [0.000, 6.953, 0.000], [0.000, 0.000, 6.953]],
  "species": ["Zr", "Zr", "Zr", "Zr", "Ga", "Ga", "Ga", "Ga", "Ga", "Ga", "Ga", "Ga", "Cl", "Cl", "Cl", "Cl"],
  "fractional_positions": [[0.000, 0.000, 0.000], [0.000, 0.500, 0.500], [0.500, 0.000, 0.500], [0.500, 0.500, 0.000], [0.250, 0.250, 0.250], [0.250, 0.250, 0.750], [0.250, 0.750, 0.250], [0.250, 0.750, 0.750], [0.750, 0.250, 0.250], [0.750, 0.250, 0.750], [0.750, 0.750, 0.250], [0.750, 0.750, 0.750], [0.000, 0.000, 0.500], [0.000, 0.500, 0.000], [0.500, 0.000, 0.000], [0.500, 0.500, 0.500]],
  "formation_energy_uncorrected_mev_per_atom": 162,
  "magmom_total_mub_per_fu": 0.00,
  "e_above_lowest_polymorph_ev_per_fu": 0.96,
  "energy_ev_per_atom": -3.950
}